Nd6Dy12Er | Alexandria via LeMat-Bulk | GGA-PBE | relaxed; offset from the most stable computed form = 0.088 eV per atom; formation energy = 214 meV/atom; D(E_F) = 30.54 states/eV per cell; raw total energy = -0.3262 Ry/atom; volume = 645 Å³ per cell; crystal system = trigonal
1.0
-2.716 1.344 8.212
-1.076 -8.680 -0.352
8.638 0.213 1.404
Nd Dy Er
6 12 1
direct
0.904 0.343 0.904
0.904 0.904 0.343
0.343 0.904 0.904
0.096 0.096 0.657
0.096 0.657 0.096
0.657 0.096 0.096
0.757 0.243 0.500
0.355 0.082 0.355
0.355 0.355 0.082
0.918 0.645 0.645
0.645 0.645 0.918
0.645 0.918 0.645
0.500 0.757 0.243
0.243 0.500 0.757
0.243 0.757 0.500
0.500 0.243 0.757
0.757 0.500 0.243
0.082 0.355 0.355
0.000 0.000 0.000